Below is a relaxed structure of Th2AgC, with properties calculated at the GGA-PBE level.

a b c (Å): 3.680 3.680 8.247
angles (deg): 77.11 77.11 60.00
Element x y z (fractional)
Th: 0.061 0.061 0.817
Th: 0.271 0.271 0.186
Ag: 0.501 0.501 0.498
C: 0.667 0.667 0.998

## Properties
SG: R3m
D(E_F) (states/eV/cell): 3.298
Energy relative to the elements (eV/atom): -0.1862
Spin magnetization (μB/cell): 0.00
Energy above the most stable polymorph in this dataset (kJ per mole of atoms): 0.0